This record from Alexandria via LeMat-Bulk describes a geometry-optimized NdTm2ThSb4 structure. The functional is PBE-GGA.

Properties
E_form (uncorrected) ... -1069 meV per atom
Crystal system ... monoclinic

Cell lengths 7.636, 4.436, 7.677 Å; angles 90.00, 109.53, 90.00 degrees
Space group P2/m (No. 10)
One atom of each set of equivalent atoms:
1 Nd 0.000 0.000 0.000 [1 per cell]
2 Tm 0.500 0.000 0.500 [1 per cell]
3 Tm 0.500 0.500 0.000 [1 per cell]
4 Th 0.000 0.500 0.500 [1 per cell]
5 Sb 0.262 0.000 0.754 [2 per cell]
6 Sb 0.262 0.500 0.255 [2 per cell]

This record from Alexandria via LeMat-Bulk describes a geometry-optimized Nd4PdRh structure. The functional is PBE-GGA.

Properties
Energy relative to the lowest polymorph listed for this composition ... 0.0000 eV/atom
Energy relative to the elements ... -2.894 eV/f.u.
Crystal system ... tetragonal

Cell lengths 7.109, 7.109, 6.541 Å; angles 90.00, 90.00, 90.00 degrees
Space group P4/mcc (No. 124)
One atom of each set of equivalent atoms:
1 Nd 0.175 0.315 0.000 [8 per cell]
2 Pd 0.500 0.500 0.250 [2 per cell]
3 Rh 0.000 0.000 0.250 [2 per cell]